*P*
YInMo | PBE | optimized geometry

abc: 3.0907 3.0907 13.7679
angles: 90.00 90.00 90.00
Space group I4mm (No. 107)
Asymmetric unit:
1 Y 0.0000 0.0000 0.0000
2 In 0.0000 0.0000 0.6883
3 Mo 0.0000 0.0000 0.3364

Values from the calculation:
Fermi-level density of states: 0.6086 states/eV per atom

*Q*
YInMo | PBE | optimized geometry

abc: 6.8153 6.8153 6.8153
angles: 90.00 90.00 90.00
Space group F-43m (No. 216)
Asymmetric unit:
1 Y 0.0000 0.0000 0.0000
2 In 0.0000 0.0000 0.5000
3 Mo 0.2500 0.2500 0.2500

Values from the calculation:
Fermi-level density of states: 1.4804 states/eV per atom

Q: Which of them is the least stable? A: *Q*.